# 1
VASP calculation (GGA-PBE) on a relaxed CsGe crystal.

CIF file:
```
data_CsGe
_chemical_formula_sum 'Cs2 Ge2'
_cell_length_a 6.934
_cell_length_b 6.934
_cell_length_c 6.934
_cell_angle_alpha 145.23
_cell_angle_beta 124.70
_cell_angle_gamma 67.00
_symmetry_space_group_name_H-M 'P 1'
_symmetry_Int_Tables_number 1
_symmetry_space_group_name_Hall 'P 1'
loop_
_atom_site_label
_atom_site_type_symbol
_atom_site_fract_x
_atom_site_fract_y
_atom_site_fract_z
_atom_site_occupancy
Cs1 Cs 0.339 0.089 0.250 1
Cs2 Cs 0.661 0.911 0.750 1
Ge1 Ge 0.060 0.310 0.750 1
Ge2 Ge 0.940 0.690 0.250 1
```

**DOS at the Fermi energy**: 0.5997 states/eV per atom
**Total DFT energy (no corrections)**: -2.8577 eV per atom
**Crystal system**: orthorhombic
**Energy above the most stable polymorph in this dataset**: 0.19 eV/f.u.
**Space group**: Imma, No. 74



# 2
VASP calculation (GGA-PBE) on a relaxed CsGe3 crystal.

CIF file:
```
data_CsGe3
_chemical_formula_sum 'Cs1 Ge3'
_cell_length_a 6.817
_cell_length_b 6.817
_cell_length_c 6.817
_cell_angle_alpha 136.92
_cell_angle_beta 136.92
_cell_angle_gamma 62.56
_symmetry_space_group_name_H-M 'P 1'
_symmetry_Int_Tables_number 1
_symmetry_space_group_name_Hall 'P 1'
loop_
_atom_site_label
_atom_site_type_symbol
_atom_site_fract_x
_atom_site_fract_y
_atom_site_fract_z
_atom_site_occupancy
Cs1 Cs 0.000 0.000 0.000 1
Ge1 Ge 0.297 0.297 0.000 1
Ge2 Ge 0.500 0.500 0.000 1
Ge3 Ge 0.703 0.703 0.000 1
```

**DOS at the Fermi energy**: 0.5383 states/eV per atom
**Total DFT energy (no corrections)**: -3.2161 eV per atom
**Crystal system**: tetragonal
**Space group**: I4/mmm, No. 139



# 3
VASP calculation (GGA-PBE) on a relaxed CsGe2 crystal.

CIF file:
```
data_CsGe2
_chemical_formula_sum 'Cs1 Ge2'
_cell_length_a 7.155
_cell_length_b 7.155
_cell_length_c 7.155
_cell_angle_alpha 150.28
_cell_angle_beta 150.28
_cell_angle_gamma 42.54
_symmetry_space_group_name_H-M 'P 1'
_symmetry_Int_Tables_number 1
_symmetry_space_group_name_Hall 'P 1'
loop_
_atom_site_label
_atom_site_type_symbol
_atom_site_fract_x
_atom_site_fract_y
_atom_site_fract_z
_atom_site_occupancy
Cs1 Cs 0.000 0.000 0.000 1
Ge1 Ge 0.283 0.283 0.000 1
Ge2 Ge 0.717 0.717 0.000 1
```

**DOS at the Fermi energy**: 0.5041 states/eV per atom
**Total DFT energy (no corrections)**: -3.2520 eV per atom
**Crystal system**: tetragonal
**Energy above the most stable polymorph in this dataset**: 0.55 eV/f.u.
**Space group**: I4/mmm, No. 139



# 4
VASP calculation (GGA-PBE) on a relaxed CsGe crystal.

CIF file:
```
data_CsGe
_chemical_formula_sum 'Cs2 Ge2'
_cell_length_a 4.338
_cell_length_b 4.339
_cell_length_c 11.119
_cell_angle_alpha 95.17
_cell_angle_beta 91.79
_cell_angle_gamma 119.98
_symmetry_space_group_name_H-M 'P 1'
_symmetry_Int_Tables_number 1
_symmetry_space_group_name_Hall 'P 1'
loop_
_atom_site_label
_atom_site_type_symbol
_atom_site_fract_x
_atom_site_fract_y
_atom_site_fract_z
_atom_site_occupancy
Cs1 Cs 0.069 0.096 0.266 1
Cs2 Cs 0.931 0.904 0.734 1
Ge1 Ge 0.323 0.653 0.962 1
Ge2 Ge 0.677 0.347 0.038 1
```

**DOS at the Fermi energy**: 0.3411 states/eV per atom
**Total DFT energy (no corrections)**: -2.8109 eV per atom
**Crystal system**: triclinic
**Energy above the most stable polymorph in this dataset**: 0.28 eV/f.u.
**Space group**: P-1, No. 2



# 5
VASP calculation (GGA-PBE) on a relaxed CsGe crystal.

CIF file:
```
data_CsGe
_chemical_formula_sum 'Cs4 Ge4'
_cell_length_a 10.274
_cell_length_b 10.274
_cell_length_c 10.274
_cell_angle_alpha 92.36
_cell_angle_beta 92.36
_cell_angle_gamma 156.59
_symmetry_space_group_name_H-M 'P 1'
_symmetry_Int_Tables_number 1
_symmetry_space_group_name_Hall 'P 1'
loop_
_atom_site_label
_atom_site_type_symbol
_atom_site_fract_x
_atom_site_fract_y
_atom_site_fract_z
_atom_site_occupancy
Cs1 Cs 0.000 0.236 0.236 1
Cs2 Cs 0.000 0.764 0.764 1
Cs3 Cs 0.236 0.000 0.236 1
Cs4 Cs 0.764 0.000 0.764 1
Ge1 Ge 0.285 0.285 0.569 1
Ge2 Ge 0.285 0.715 0.000 1
Ge3 Ge 0.715 0.285 0.000 1
Ge4 Ge 0.715 0.715 0.431 1
```

**DOS at the Fermi energy**: 0.4910 states/eV per atom
**Total DFT energy (no corrections)**: -2.8229 eV per atom
**Crystal system**: tetragonal
**Energy above the most stable polymorph in this dataset**: 0.26 eV/f.u.
**Space group**: I4/mmm, No. 139



# 6
VASP calculation (GGA-PBE) on a relaxed CsGe crystal.

CIF file:
```
data_CsGe
_chemical_formula_sum 'Cs6 Ge6'
_cell_length_a 13.474
_cell_length_b 6.761
_cell_length_c 7.282
_cell_angle_alpha 90.00
_cell_angle_beta 90.00
_cell_angle_gamma 90.00
_symmetry_space_group_name_H-M 'P 1'
_symmetry_Int_Tables_number 1
_symmetry_space_group_name_Hall 'P 1'
loop_
_atom_site_label
_atom_site_type_symbol
_atom_site_fract_x
_atom_site_fract_y
_atom_site_fract_z
_atom_site_occupancy
Cs1 Cs 0.000 0.248 0.000 1
Cs2 Cs 0.186 0.752 0.350 1
Cs3 Cs 0.314 0.248 0.850 1
Cs4 Cs 0.500 0.752 0.500 1
Cs5 Cs 0.686 0.248 0.850 1
Cs6 Cs 0.814 0.752 0.350 1
Ge1 Ge 0.000 0.747 0.817 1
Ge2 Ge 0.171 0.747 0.852 1
Ge3 Ge 0.329 0.253 0.352 1
Ge4 Ge 0.500 0.253 0.317 1
Ge5 Ge 0.671 0.253 0.352 1
Ge6 Ge 0.829 0.747 0.852 1
```

**DOS at the Fermi energy**: 0.8927 states/eV per atom
**Total DFT energy (no corrections)**: -2.7099 eV per atom
**Crystal system**: orthorhombic
**Energy above the most stable polymorph in this dataset**: 0.48 eV/f.u.
**Space group**: Pmn2_1, No. 31